Ca2CuPd5Pt2: relaxed, PBE-GGA.

a = 3.927 Å, b = 9.654 Å, c = 9.654 Å
α = 90.00°, β = 90.00°, γ = 90.00°
Sites, in units of the cell vectors:
Pd 0.500 0.559 0.693
Pd 0.500 0.307 0.559
Pd 0.500 0.059 0.807
Pd 0.500 0.441 0.307
Pd 0.500 0.193 0.059
Pd 0.500 0.500 0.000
Pd 0.500 0.941 0.193
Pd 0.500 0.807 0.941
Pd 0.500 0.693 0.441
Pd 0.500 0.000 0.500
Pt 0.000 0.370 0.130
Pt 0.000 0.630 0.870
Pt 0.000 0.870 0.370
Pt 0.000 0.130 0.630
Ca 0.000 0.170 0.330
Ca 0.000 0.330 0.830
Ca 0.000 0.830 0.670
Ca 0.000 0.670 0.170
Cu 0.000 0.500 0.500
Cu 0.000 0.000 0.000

Summary:
DFT formation energy: -391 meV per atom
SG: P4/mbm (127)
Final energy: -5.006 eV per atom